[1]
Material: PmNdTe2
Method: DFT, PBE
State: optimized geometry

Energy above the most stable polymorph in this dataset ... 0.44 eV/f.u.
Symmetry ... P4/mmm

a = 3.865 Å, b = 5.469 Å, c = 5.469 Å
α = 90.00°, β = 90.00°, γ = 90.00°
Positions (direct):
1 Te 0.000 0.000 0.500
2 Te 0.000 0.500 0.000
3 Nd 0.500 0.000 0.000
4 Pm 0.500 0.500 0.500

[2]
Material: Pm2Nd3Te8
Method: DFT, PBE
State: optimized geometry

Symmetry ... C2/m

a = 7.709 Å, b = 8.970 Å, c = 9.042 Å
α = 119.74°, β = 106.40°, γ = 90.00°
Positions (direct):
1 Pm 0.334 0.251 0.503
2 Pm 0.666 0.749 0.497
3 Nd 0.500 0.000 0.000
4 Nd 0.000 0.259 0.000
5 Nd 0.000 0.741 0.000
6 Te 0.900 0.620 0.240
7 Te 0.100 0.380 0.760
8 Te 0.920 0.122 0.244
9 Te 0.080 0.878 0.756
10 Te 0.585 0.630 0.754
11 Te 0.585 0.123 0.754
12 Te 0.415 0.877 0.246
13 Te 0.415 0.370 0.246

no.,formation energy without anion corrections (eV per atom)
1,-1.31
2,-1.28